Entry from Alexandria: crystalline LaPtPb2 at its relaxed geometry (PBEsol).

Results
DOS(E_F) in states/eV/atom: 0.6297
M_tot in μB per formula unit: 0.000
Polymorph energy (0 for the lowest one) in eV/atom: 0.210
ΔH_f (0 K) in eV/atom: -0.2937
Theoretical density in g cm⁻³: 12.8
Space-group type: No. 225
Calculated total energy in eV/atom: -5.37

Lattice parameters (Å, degrees): 5.1557 5.1557 5.1557 60.00 60.00 60.00
Last column: nearest neighbours and their distance in Å.
Element x y z (fractional)
La 0.0000 0.0000 0.0000  8 Pb 3.16
Pt 0.5000 0.5000 0.5000  8 Pb 3.16
Pb 0.2500 0.2500 0.2500  4 La 3.16, 4 Pt 3.16
Pb 0.7500 0.7500 0.7500  4 La 3.16, 4 Pt 3.16


Entry from Alexandria: crystalline LaPt4Pb at its relaxed geometry (PBEsol).

Results
DOS(E_F) in states/eV/atom: 0.6731
M_tot in μB per formula unit: 0.000
ΔH_f (0 K) in eV/atom: -0.7102
Theoretical density in g cm⁻³: 16.5
Space-group type: No. 216
Calculated total energy in eV/atom: -6.91

Lattice parameters (Å, degrees): 5.4316 5.4316 5.4316 60.00 60.00 60.00
Last column: nearest neighbours and their distance in Å.
Element x y z (fractional)
La 0.0000 0.0000 0.0000  12 Pt 3.19, 4 Pb 3.33
Pt 0.1258 0.6247 0.6247  6 Pt 2.71-2.72
Pt 0.6247 0.1258 0.6247  6 Pt 2.71-2.72
Pt 0.6247 0.6247 0.1258  6 Pt 2.71-2.72
Pt 0.6247 0.6247 0.6247  6 Pt 2.71-2.72
Pb 0.2500 0.2500 0.2500  12 Pt 3.18, 4 La 3.33